Record 1
# Pr2SeS

A geometry-optimized Pr2SeS structure (PBE, OQMD via LeMat-Bulk).

Unit cell a=7.293 b=7.293 c=7.243 alpha=99.76 beta=99.76 gamma=33.15
Fractional coordinates of all 8 atoms:
Pr: 0.863 0.364 0.121
Pr: 0.636 0.137 0.379
Pr: 0.364 0.863 0.621
Pr: 0.137 0.636 0.879
S: 0.250 0.750 0.250
S: 0.750 0.250 0.750
Se: 0.500 0.000 0.000
Se: 0.000 0.500 0.500

Results
The total magnetic moment is 0.01 μB/cell. The offset from the most stable computed form comes out at 0.0 meV per atom. As for the space group: C2/m.

---

Record 2
# PrYCo2Ge4

A geometry-optimized PrYCo2Ge4 structure (PBE, OQMD via LeMat-Bulk).

Unit cell a=4.197 b=8.606 c=8.606 alpha=28.36 beta=90.00 gamma=90.00
Fractional coordinates of all 8 atoms:
Co: 0.000 0.181 0.181
Co: 0.500 0.818 0.818
Ge: 0.000 0.046 0.046
Ge: 0.500 0.248 0.248
Ge: 0.000 0.749 0.749
Ge: 0.500 0.956 0.956
Pr: 0.000 0.392 0.392
Y: 0.500 0.610 0.610

Results
The total magnetic moment is 0.01 μB/cell. For the raw total energy, the calculation gives -6.14 eV per atom. As for the space group: Amm2.